# MnZnGa2O, relaxed, DFT PBE with a Hubbard U
data_MnZnGa2O
_chemical_formula_sum 'Mn1 Zn1 Ga2 O1'
_symmetry_space_group_name_H-M 'P 4/m m m'
_symmetry_Int_Tables_number 123
_symmetry_space_group_name_Hall '-P 4 2'
_cell_length_a 5.487
_cell_length_b 5.487
_cell_length_c 3.513
_cell_angle_alpha 90.00
_cell_angle_beta 90.00
_cell_angle_gamma 90.00
loop_
_atom_site_label
_atom_site_fract_x
_atom_site_fract_y
_atom_site_fract_z
_atom_site_occupancy
Mn1 0.000 0.000 0.000 1
Zn1 0.500 0.500 0.500 1
Ga1 0.000 0.500 0.500 1
O1 0.500 0.500 0.000 1
# Total energy: -3.7658 eV per atom
# Total magnetic moment: 4.49 μB per formula unit